No. 1
VASP calculation (SCAN) on a crystal of FeWCl2 relaxed with PBEsol.

Values from the calculation:
E_tot   -24.86 eV per atom
Calculated density   8.75 g/cm³
Crystal system   tetragonal
Offset from the most stable computed form   948.1 meV per atom

Cell lengths 4.9874, 4.9874, 4.7400 Å; angles 90.00, 90.00, 90.00 degrees
Space group I-4m2 (No. 119)
One atom of each set of equivalent atoms:
Fe  0.0000  0.0000  0.0000 x2
W  0.0000  0.5000  0.2500 x2
Cl  0.0000  0.0000  0.5000 x2
Cl  0.0000  0.5000  0.7500 x2

---

No. 2
VASP calculation (SCAN) on a crystal of FeW2Cl10 relaxed with PBEsol.

Values from the calculation:
E_tot   -19.14 eV per atom
Calculated density   4.50 g/cm³
Crystal system   monoclinic

Cell lengths 5.9394, 16.0681, 12.2393 Å; angles 90.00, 100.60, 90.00 degrees
Space group C2/c (No. 15)
One atom of each set of equivalent atoms:
Fe  0.0000  0.0504  0.2500 x4
W  0.0000  0.2679  0.2500 x4
W  0.0000  0.4331  0.2500 x4
Cl  0.1089  0.1513  0.1428 x8
Cl  0.1267  0.3504  0.1146 x8
Cl  0.1279  0.0488  0.6440 x8
Cl  0.1420  0.4552  0.6448 x8
Cl  0.1438  0.2444  0.6408 x8

---

No. 3
VASP calculation (SCAN) on a crystal of FeW2Cl relaxed with PBEsol.

Values from the calculation:
E_tot   -40.08 eV per atom
Calculated density   12.68 g/cm³
Crystal system   tetragonal
Offset from the most stable computed form   682.0 meV per atom

Cell lengths 3.7138, 3.7138, 4.3582 Å; angles 90.00, 90.00, 90.00 degrees
Space group P4/mmm (No. 123)
One atom of each set of equivalent atoms:
Fe  0.0000  0.0000  0.0000 x1
W  0.0000  0.5000  0.5000 x2
Cl  0.5000  0.5000  0.0000 x1

---

No. 4
VASP calculation (SCAN) on a crystal of FeWCl2 relaxed with PBEsol.

Values from the calculation:
E_tot   -24.83 eV per atom
Calculated density   9.58 g/cm³
Crystal system   tetragonal
Offset from the most stable computed form   974.4 meV per atom

Cell lengths 3.0013, 3.0013, 5.9758 Å; angles 90.00, 90.00, 90.00 degrees
Space group P4/mmm (No. 123)
One atom of each set of equivalent atoms:
Fe  0.0000  0.0000  0.0000 x1
W  0.0000  0.0000  0.5000 x1
Cl  0.5000  0.5000  0.2431 x2

---

No. 5
VASP calculation (SCAN) on a crystal of FeWCl2 relaxed with PBEsol.

Values from the calculation:
E_tot   -25.69 eV per atom
Calculated density   8.42 g/cm³
Crystal system   trigonal
Offset from the most stable computed form   116.2 meV per atom

Cell lengths 2.9622, 2.9622, 24.1878 Å; angles 90.00, 90.00, 120.00 degrees
Space group R-3m (No. 166, hexagonal axes)
One atom of each set of equivalent atoms:
Fe  0.0000  0.0000  0.0000 x3
W  0.0000  0.0000  0.5000 x3
Cl  0.0000  0.0000  0.4026 x6

---

No. 6
VASP calculation (SCAN) on a crystal of YFe2Cl relaxed with PBEsol.

Values from the calculation:
E_tot   -18.03 eV per atom
Calculated density   6.00 g/cm³
Crystal system   monoclinic
Offset from the most stable computed form   0.0 meV per atom

Cell lengths 3.1954, 4.9272, 4.1478 Å; angles 90.00, 90.84, 90.00 degrees
Space group P2/m (No. 10)
One atom of each set of equivalent atoms:
Y  0.0000  0.0000  0.0000 x1
Fe  0.3073  0.5000  0.7489 x2
Cl  0.5000  0.0000  0.5000 x1

---

No. 7
VASP calculation (SCAN) on a crystal of YFe2Cl relaxed with PBEsol.

Values from the calculation:
E_tot   -17.83 eV per atom
Calculated density   5.69 g/cm³
Crystal system   tetragonal
Offset from the most stable computed form   204.0 meV per atom

Cell lengths 3.0513, 3.0513, 7.4036 Å; angles 90.00, 90.00, 90.00 degrees
Space group P4/mmm (No. 123)
One atom of each set of equivalent atoms:
Y  0.0000  0.0000  0.0000 x1
Fe  0.5000  0.5000  0.2905 x2
Cl  0.0000  0.0000  0.5000 x1

---

No. 8
VASP calculation (SCAN) on a crystal of ZnFeCl3 relaxed with PBEsol.

Values from the calculation:
E_tot   -11.60 eV per atom
Calculated density   3.69 g/cm³
Crystal system   cubic

Cell lengths 4.6809, 4.6809, 4.6809 Å; angles 90.00, 90.00, 90.00 degrees
Space group Pm-3m (No. 221)
One atom of each set of equivalent atoms:
Zn  0.0000  0.0000  0.0000 x1
Fe  0.5000  0.5000  0.5000 x1
Cl  0.0000  0.5000  0.5000 x3